Entry 1:
Entry from Alexandria: an optimized crystal structure of Fe2Au (PBE-GGA).

Computed properties:
Calculated formation energy, eV per atom: 0.11
DFT total energy, eV/atom: -6.63
Crystal system: monoclinic
Symmetry: C2/m, No. 12

Unit cell a=4.946 b=4.946 c=6.493 alpha=71.24 beta=71.24 gamma=34.29
Fractional coordinates of all 6 atoms:
Fe: 0.842 0.842 0.555
Fe: 0.516 0.516 0.278
Fe: 0.158 0.158 0.445
Fe: 0.484 0.484 0.722
Au: 0.162 0.162 0.892
Au: 0.838 0.838 0.108

Entry 2:
Entry from Alexandria: an optimized crystal structure of Al2HgIr2 (PBE-GGA).

Computed properties:
Calculated formation energy, eV per atom: -0.43
DFT total energy, eV/atom: -5.53
Crystal system: tetragonal
Symmetry: P4/mbm, No. 127

Unit cell a=7.410 b=7.410 c=2.872 alpha=90.00 beta=90.00 gamma=90.00
Fractional coordinates of all 10 atoms:
Ir: 0.346 0.154 0.500
Ir: 0.846 0.346 0.500
Ir: 0.654 0.846 0.500
Ir: 0.154 0.654 0.500
Al: 0.638 0.138 0.000
Al: 0.138 0.362 0.000
Al: 0.362 0.862 0.000
Al: 0.862 0.638 0.000
Hg: 0.500 0.500 0.000
Hg: 0.000 0.000 0.000

Entry 3:
Entry from Alexandria: an optimized crystal structure of Be2NiMo (PBE-GGA).

Computed properties:
Calculated formation energy, eV per atom: 0.15
DFT total energy, eV/atom: -5.87
Crystal system: trigonal
Symmetry: R-3m, No. 166

Unit cell a=7.849 b=7.849 c=7.849 alpha=19.20 beta=19.20 gamma=19.20
Fractional coordinates of all 4 atoms:
Mo: 0.750 0.750 0.750
Ni: 0.250 0.250 0.250
Be: 0.508 0.508 0.508
Be: 0.992 0.992 0.992